## Tc2NiRh (GGA-PBE)

Data for crystalline Tc2NiRh at its relaxed geometry.

Unit cell a=6.8029 b=6.8029 c=5.4407 alpha=51.30 beta=51.30 gamma=90.00
Closest atoms and distances in Å follow each position.
Element x y z (fractional)
Ni 0.2500 0.7500 0.5000  4 Tc 2.38, 2 Rh 2.54
Ni 0.5000 0.5000 0.0000  4 Tc 2.38, 2 Rh 2.54
Tc 0.3750 0.3986 0.7500  2 Ni 2.38, 2 Tc 2.56, 2 Rh 2.60
Tc 0.6014 0.1250 0.2500  2 Ni 2.38, 2 Tc 2.56, 2 Rh 2.60
Tc 0.1486 0.6250 0.2500  2 Ni 2.38, 2 Tc 2.56, 2 Rh 2.60
Tc 0.8750 0.8514 0.7500  2 Ni 2.38, 2 Tc 2.56, 2 Rh 2.60
Rh 0.0000 0.0000 0.0000  2 Ni 2.54, 4 Tc 2.60
Rh 0.7500 0.2500 0.5000  2 Ni 2.54, 4 Tc 2.60

Output
* space-group type: No. 122
* E_form: 0.629 eV per atom

## LuScCuGe (GGA-PBE)

Data for crystalline LuScCuGe at its relaxed geometry.

Unit cell a=4.7688 b=4.7688 c=4.7688 alpha=60.00 beta=60.00 gamma=60.00
Closest atoms and distances in Å follow each position.
Element x y z (fractional)
Ge 0.7500 0.7500 0.7500  4 Lu 2.92, 4 Sc 2.92
Lu 0.0000 0.0000 0.0000  4 Ge 2.92, 4 Cu 2.92
Sc 0.5000 0.5000 0.5000  4 Ge 2.92, 4 Cu 2.92
Cu 0.2500 0.2500 0.2500  4 Sc 2.92, 4 Lu 2.92

Output
* space-group type: No. 216
* E_form: -0.496 eV per atom

## AlV3W (GGA-PBE)

Data for crystalline AlV3W at its relaxed geometry.

Unit cell a=5.0847 b=7.4778 c=8.0130 alpha=81.68 beta=80.03 gamma=75.19
Closest atoms and distances in Å follow each position.
Element x y z (fractional)
V 0.0084 0.5464 0.1678  5 V 2.55-2.69, 2 Al 2.67-2.68, 1 W 2.67
V 0.9916 0.4536 0.8322  5 V 2.55-2.69, 2 Al 2.67-2.68, 1 W 2.67
V 0.7698 0.0398 0.4277  6 V 2.57-2.75, 1 W 2.68, 1 Al 2.68
V 0.8935 0.2454 0.1247  5 V 2.55-2.75, 2 W 2.57-2.68, 1 Al 2.62
V 0.3851 0.2490 0.6203  3 V 2.58-2.69, 2 W 2.61-2.69, 3 Al 2.70-2.76
V 0.1065 0.7546 0.8753  5 V 2.55-2.75, 2 W 2.57-2.68, 1 Al 2.62
V 0.5777 0.6499 0.0146  5 V 2.59-2.70, 2 Al 2.64-2.85, 2 W 2.65-2.66
V 0.2302 0.9602 0.5723  6 V 2.57-2.75, 1 W 2.68, 1 Al 2.68
V 0.3385 0.1365 0.2780  2 W 2.57-2.67, 4 V 2.57-2.67, 2 Al 2.65-2.66
V 0.6149 0.7510 0.3797  3 V 2.58-2.69, 2 W 2.61-2.69, 3 Al 2.70-2.76
V 0.6615 0.8635 0.7220  2 W 2.57-2.67, 4 V 2.57-2.67, 2 Al 2.65-2.66
V 0.4223 0.3501 0.9854  5 V 2.59-2.70, 2 Al 2.64-2.85, 2 W 2.65-2.66
W 0.7258 0.9466 0.0779  5 V 2.57-2.69, 3 W 2.67-2.76
W 0.8204 0.1620 0.7738  5 V 2.61-2.68, 2 W 2.67-2.76, 1 Al 2.67
W 0.1796 0.8380 0.2262  5 V 2.61-2.68, 2 W 2.67-2.76, 1 Al 2.67
W 0.2742 0.0534 0.9221  5 V 2.57-2.69, 3 W 2.67-2.76
Al 0.5255 0.5509 0.6935  7 V 2.62-2.85, 2 Al 2.71-2.77
Al 0.4745 0.4491 0.3065  7 V 2.62-2.85, 2 Al 2.71-2.77
Al 0.0755 0.6536 0.5324  4 V 2.66-2.72, 1 W 2.67, 3 Al 2.71-2.77
Al 0.9245 0.3464 0.4676  4 V 2.66-2.72, 1 W 2.67, 3 Al 2.71-2.77

Output
* space-group type: No. 2
* E_form: -0.101 eV per atom

## Pm5SmBi6 (GGA-PBE)

Data for crystalline Pm5SmBi6 at its relaxed geometry.

Unit cell a=7.9262 b=7.9262 c=7.9237 alpha=99.58 beta=99.58 gamma=120.00
Closest atoms and distances in Å follow each position.
Element x y z (fractional)
Pm 0.3335 0.6665 0.0000  6 Bi 3.23-3.24
Pm 0.6665 0.3335 0.0000  6 Bi 3.23-3.24
Pm 0.8330 0.1670 0.5000  6 Bi 3.23-3.24
Pm 0.1670 0.8330 0.5000  6 Bi 3.23-3.24
Pm 0.5000 0.5000 0.5000  6 Bi 3.24
Bi 0.4157 0.0831 0.2494  1 Sm 3.23, 5 Pm 3.23-3.24
Bi 0.7508 0.7508 0.2498  1 Sm 3.23, 5 Pm 3.24
Bi 0.9169 0.5843 0.7506  1 Sm 3.23, 5 Pm 3.23-3.24
Bi 0.2492 0.2492 0.7502  1 Sm 3.23, 5 Pm 3.24
Bi 0.5843 0.9169 0.7506  1 Sm 3.23, 5 Pm 3.23-3.24
Bi 0.0831 0.4157 0.2494  1 Sm 3.23, 5 Pm 3.23-3.24
Sm 0.0000 0.0000 0.0000  6 Bi 3.23

Output
* space-group type: No. 12
* E_form: -0.938 eV per atom

## Ce2Mg2Zn15 (GGA-PBE)

Data for crystalline Ce2Mg2Zn15 at its relaxed geometry.

Unit cell a=6.9188 b=6.9188 c=6.9188 alpha=82.46 beta=82.46 gamma=82.46
Closest atoms and distances in Å follow each position.
Element x y z (fractional)
Zn 0.1601 0.6459 0.6459  8 Zn 2.59-2.83
Zn 0.0000 0.5000 0.0000  8 Zn 2.63-2.68, 2 Mg 2.77
Zn 0.7057 0.2943 0.0000  8 Zn 2.63-2.83
Zn 0.8399 0.3541 0.3541  8 Zn 2.59-2.83
Zn 0.7057 0.0000 0.2943  8 Zn 2.63-2.83
Zn 0.5000 0.0000 0.0000  8 Zn 2.63-2.68, 2 Mg 2.77
Zn 0.0000 0.2943 0.7057  8 Zn 2.63-2.83
Zn 0.0000 0.0000 0.5000  8 Zn 2.63-2.68, 2 Mg 2.77
Zn 0.3541 0.8399 0.3541  8 Zn 2.59-2.83
Zn 0.0000 0.7057 0.2943  8 Zn 2.63-2.83
Zn 0.6459 0.6459 0.1601  8 Zn 2.59-2.83
Zn 0.3541 0.3541 0.8399  8 Zn 2.59-2.83
Zn 0.6459 0.1601 0.6459  8 Zn 2.59-2.83
Zn 0.2943 0.7057 0.0000  8 Zn 2.63-2.83
Zn 0.2943 0.0000 0.7057  8 Zn 2.63-2.83
Mg 0.8961 0.8961 0.8961  12 Zn 2.77-3.03, 1 Mg 2.80
Mg 0.1039 0.1039 0.1039  12 Zn 2.77-3.03, 1 Mg 2.80
Ce 0.6582 0.6582 0.6582  18 Zn 3.20-3.53, 1 Mg 3.20
Ce 0.3418 0.3418 0.3418  18 Zn 3.20-3.53, 1 Mg 3.20

Output
* space-group type: No. 166
* E_form: -0.219 eV per atom

## MgGaHg3 (GGA-PBE)

Data for crystalline MgGaHg3 at its relaxed geometry.

Unit cell a=3.5221 b=8.1182 c=8.3926 alpha=95.72 beta=89.67 gamma=101.65
Closest atoms and distances in Å follow each position.
Element x y z (fractional)
Mg 0.6210 0.2849 0.1659  8 Hg 2.98-3.09
Mg 0.4236 0.8700 0.2558  8 Hg 2.99-3.08
Hg 0.7952 0.6086 0.3815  2 Ga 2.96-2.97, 3 Mg 2.99-3.01
Hg 0.4219 0.8998 0.6181  2 Ga 2.98-2.99, 1 Mg 3.03, 3 Hg 3.08-3.29
Hg 0.9870 0.9986 0.0026  1 Ga 2.86, 4 Mg 3.02-3.09
Hg 0.2479 0.5456 0.0401  2 Ga 2.96, 3 Mg 2.98-3.00, 1 Hg 3.32
Hg 0.0551 0.1554 0.4188  1 Ga 2.86, 4 Mg 3.01-3.08
Hg 0.6226 0.2539 0.8034  2 Ga 2.98-2.99, 1 Mg 3.03, 3 Hg 3.08-3.30
Ga 0.8170 0.6860 0.8022  2 Ga 2.79-2.84, 5 Hg 2.86-2.99
Ga 0.2285 0.4676 0.6194  2 Ga 2.79-2.84, 5 Hg 2.86-2.99

Output
* space-group type: No. 1
* E_form: -0.039 eV per atom

## SnGeAsHIr (GGA-PBE)

Data for crystalline SnGeAsHIr at its relaxed geometry.

Unit cell a=4.1137 b=4.3104 c=6.5457 alpha=106.05 beta=91.02 gamma=118.15
Closest atoms and distances in Å follow each position.
Element x y z (fractional)
Ir 0.9530 0.2700 0.2813  3 Ge 2.48-2.63, 1 As 2.56, 2 Sn 2.73-2.75
H 0.5367 0.2916 0.8561  1 As 1.56
As 0.8965 0.2635 0.8903  1 H 1.56
Ge 0.2617 0.8859 0.1795  3 Ir 2.48-2.63, 1 As 2.51
Sn 0.6870 0.7270 0.4819  3 Ir 2.73-2.78, 1 As 2.80, 1 Ge 3.03

Output
* total energy: -5.09 eV/atom
* space-group type: No. 1

## Ca2Ac2Cd3 (GGA-PBE)

Data for crystalline Ca2Ac2Cd3 at its relaxed geometry.

Unit cell a=5.5099 b=5.5155 c=9.7236 alpha=89.97 beta=106.50 gamma=120.00
Closest atoms and distances in Å follow each position.
Element x y z (fractional)
Ac 0.7519 0.8753 0.6267  5 Cd 3.40-3.55
Ac 0.2481 0.1247 0.3733  5 Cd 3.40-3.55
Cd 0.0000 0.0000 0.0000  6 Ca 3.36-3.37, 2 Ac 3.43
Cd 0.4934 0.7473 0.2404  4 Ca 3.30-3.37, 4 Ac 3.40-3.55
Cd 0.5066 0.2527 0.7596  4 Ca 3.30-3.37, 4 Ac 3.40-3.55
Ca 0.7457 0.3731 0.1191  7 Cd 3.30-3.37
Ca 0.2543 0.6269 0.8809  7 Cd 3.30-3.37

Output
* space-group type: No. 12
* E_form: -0.208 eV per atom

## KAl2InMo (GGA-PBE)

Data for crystalline KAl2InMo at its relaxed geometry.

Unit cell a=5.3301 b=5.3301 c=5.4246 alpha=90.00 beta=90.00 gamma=90.00
Closest atoms and distances in Å follow each position.
Element x y z (fractional)
In 0.0000 0.0000 0.5000  2 K 2.71
Mo 0.5000 0.5000 0.5000  4 In 3.77, 8 Al 3.80
Al 0.0000 0.5000 0.0000  2 K 2.67
Al 0.5000 0.0000 0.0000  2 K 2.67
K 0.0000 0.0000 0.0000  4 Al 2.67, 2 In 2.71

Output
* space-group type: No. 123
* E_form: 2.079 eV per atom

## Sc3Ag2 (GGA-PBE)

Data for crystalline Sc3Ag2 at its relaxed geometry.

Unit cell a=9.5688 b=3.3870 c=3.3870 alpha=90.00 beta=100.19 gamma=79.81
Closest atoms and distances in Å follow each position.
Element x y z (fractional)
Sc 0.2000 0.4000 0.6000  8 Ag 2.97
Sc 0.8205 0.5898 0.4102  4 Ag 2.97, 4 Sc 3.27
Sc 0.5795 0.2102 0.7898  4 Ag 2.97, 4 Sc 3.27
Ag 0.0102 0.9949 0.0051  8 Sc 2.97
Ag 0.3898 0.8051 0.1949  8 Sc 2.97

Output
* space-group type: No. 139
* E_form: -0.203 eV per atom

## Rb4Er3ThSe8 (GGA-PBE)

Data for crystalline Rb4Er3ThSe8 at its relaxed geometry.

Unit cell a=8.4554 b=9.3952 c=8.4564 alpha=116.77 beta=120.00 gamma=90.00
Closest atoms and distances in Å follow each position.
Element x y z (fractional)
Rb 0.5000 0.0000 0.0000  6 Se 3.41
Rb 0.5000 0.0000 0.5000  6 Se 3.45-3.46
Rb 0.0000 0.0000 0.0000  6 Se 3.45-3.46
Rb 0.0000 0.0000 0.5000  6 Se 3.45-3.46
Se 0.7645 0.3018 0.0370  2 Er 2.90, 1 Th 2.95
Se 0.2724 0.3018 0.0370  2 Er 2.90, 1 Th 2.95
Se 0.2686 0.3063 0.5373  3 Er 2.89-2.90
Se 0.7645 0.3018 0.5290  2 Er 2.90, 1 Th 2.95
Se 0.2355 0.6982 0.4710  2 Er 2.90, 1 Th 2.95
Se 0.7314 0.6937 0.4627  3 Er 2.89-2.90
Se 0.7276 0.6982 0.9630  2 Er 2.90, 1 Th 2.95
Se 0.2355 0.6982 0.9630  2 Er 2.90, 1 Th 2.95
Er 0.5000 0.5000 0.5000  6 Se 2.89-2.90
Er 0.5000 0.5000 0.0000  6 Se 2.90
Er 0.0000 0.5000 0.5000  6 Se 2.89-2.90
Th 0.0000 0.5000 0.0000  6 Se 2.95

Output
* energy relative to the elements, uncorrected: -26.7 eV per formula unit
* space-group type: No. 166

## Pr5Mg2 (GGA-PBE)

Data for crystalline Pr5Mg2 at its relaxed geometry.

Unit cell a=6.1580 b=8.5754 c=9.3486 alpha=95.63 beta=90.00 gamma=111.04
Closest atoms and distances in Å follow each position.
Element x y z (fractional)
Pr 0.5587 0.4487 0.8233  3 Mg 3.42-3.82, 8 Pr 3.48-3.69
Pr 0.8900 0.4487 0.3233  3 Mg 3.42-3.82, 8 Pr 3.48-3.69
Pr 0.9397 0.2711 0.9625  4 Mg 3.38-3.66, 7 Pr 3.53-3.72
Pr 0.8093 0.0000 0.2500  6 Mg 3.51-3.64, 6 Pr 3.63-3.69
Pr 0.4413 0.5513 0.1767  3 Mg 3.42-3.82, 8 Pr 3.48-3.69
Pr 0.1100 0.5513 0.6767  3 Mg 3.42-3.82, 8 Pr 3.48-3.69
Pr 0.1907 0.0000 0.7500  6 Mg 3.51-3.64, 6 Pr 3.63-3.69
Pr 0.0603 0.7289 0.0375  4 Mg 3.38-3.66, 7 Pr 3.53-3.72
Pr 0.3314 0.2711 0.4625  4 Mg 3.38-3.66, 7 Pr 3.53-3.72
Pr 0.6686 0.7289 0.5375  4 Mg 3.38-3.66, 7 Pr 3.53-3.72
Mg 0.6086 0.8597 0.8922  9 Pr 3.38-3.69, 2 Mg 3.61-3.66
Mg 0.3914 0.1403 0.1078  9 Pr 3.38-3.69, 2 Mg 3.61-3.66
Mg 0.2511 0.8597 0.3922  9 Pr 3.38-3.69, 2 Mg 3.61-3.66
Mg 0.7489 0.1403 0.6078  9 Pr 3.38-3.69, 2 Mg 3.61-3.66

Output
* space-group type: No. 15
* E_form: -0.019 eV per atom

| no. | DOS at the Fermi energy (states/eV/cell) | magnetization (μB per cell) |
| --- | --- | --- |
| 1 | 11.88 | 0.00 |
| 2 | 3.66 | 0.00 |
| 3 | 19.96 | 0.00 |
| 4 | 2.25 | 0.00 |
| 5 | 14.48 | 1.84 |
| 6 | 2.10 | 0.00 |
| 7 | 0.98 | 0.00 |
| 8 | 6.73 | 0.00 |
| 9 | 3.64 | 3.52 |
| 10 | 3.54 | 0.87 |
| 11 | 4.74 | 0.00 |
| 12 | 17.36 | 0.00 |